Sr2MgIr | PBE | relaxed

symmetry	P4/mmm, No. 123
N(E_F)	1.0432	states/eV/atom
size of the total moment	0.0	μB/cell
formation energy from the elements	-0.025	eV per formula unit

Geometry as extended XYZ:
```
4
Lattice="3.6624 0.0010 0.0000 -0.0009 3.6624 0.0000 0.0000 0.0000 9.0031" Properties=species:S:1:pos:R:3 pbc="T T T"
Ir 1.8307 1.8317 2.2508
Mg 1.8307 1.8317 6.7523
Sr 0.0000 0.0000 3.9799
Sr 0.0000 0.0000 0.5216
```